1.
A relaxed structure of Al3FeOs, computed with GGA-PBE.

Cell lengths 4.6887, 4.6887, 4.6887 Å; angles 90.00, 90.00, 90.00 degrees
Last column: nearest neighbours and their distance in Å.
Fractional coordinates of all 5 atoms:
1 Al 0.0000 0.5000 0.0000  2 Os 2.34
2 Al 0.0000 0.0000 0.5000  2 Os 2.34
3 Al 0.5000 0.0000 0.0000  2 Os 2.34
4 Fe 0.5000 0.5000 0.5000  12 Al 3.32
5 Os 0.0000 0.0000 0.0000  6 Al 2.34

Properties
The formation energy comes out at 521 meV per atom. For the spin magnetization, the calculation gives 3.4 Bohr magnetons per cell. The space-group type is Pm-3m, No. 221. The value obtained for the theoretical density is 5.27 g/cm³. Its energy relative to the lowest polymorph listed for this composition is 0.000 eV per atom.

---

2.
A relaxed structure of TmCd2Sn, computed with GGA-PBE.

Cell lengths 4.8270, 4.4261, 4.4261 Å; angles 90.00, 90.00, 90.00 degrees
Last column: nearest neighbours and their distance in Å.
Fractional coordinates of all 4 atoms:
1 Cd 0.0000 0.5000 0.0000  4 Cd 3.13, 4 Tm 3.27, 4 Sn 3.27
2 Cd 0.0000 0.0000 0.5000  4 Cd 3.13, 4 Tm 3.27, 4 Sn 3.27
3 Sn 0.5000 0.0000 0.0000  4 Tm 3.13, 8 Cd 3.27
4 Tm 0.5000 0.5000 0.5000  4 Sn 3.13, 8 Cd 3.27

Properties
The formation energy comes out at -377 meV per atom. For the spin magnetization, the calculation gives 0.0 Bohr magnetons per cell. The space-group type is P4/mmm, No. 123. The value obtained for the theoretical density is 9.00 g/cm³. Its energy relative to the lowest polymorph listed for this composition is 0.000 eV per atom.

---

3.
A relaxed structure of CoNiPt, computed with GGA-PBE.

Cell lengths 3.9648, 3.9648, 3.9648 Å; angles 60.00, 60.00, 60.00 degrees
Last column: nearest neighbours and their distance in Å.
Fractional coordinates of all 3 atoms:
1 Ni 0.0000 0.0000 0.0000  4 Co 2.43
2 Pt 0.5000 0.5000 0.5000  4 Co 2.43
3 Co 0.7500 0.7500 0.7500  4 Pt 2.43, 4 Ni 2.43

Properties
The formation energy comes out at 299 meV per atom. For the spin magnetization, the calculation gives 3.2 Bohr magnetons per cell. The space-group type is F-43m, No. 216. The value obtained for the theoretical density is 11.78 g/cm³. Its energy relative to the lowest polymorph listed for this composition is 0.385 eV per atom.

---

4.
A relaxed structure of Sr2YHgH, computed with GGA-PBE.

Cell lengths 5.5824, 5.5824, 4.5016 Å; angles 90.00, 90.00, 90.00 degrees
Last column: nearest neighbours and their distance in Å.
Fractional coordinates of all 5 atoms:
1 Y 0.0000 0.0000 0.5000  2 H 2.25
2 H 0.0000 0.0000 0.0000  2 Y 2.25
3 Hg 0.5000 0.5000 0.5000  8 Sr 3.59, 4 Y 3.95
4 Sr 0.0000 0.5000 0.0000  2 H 2.79
5 Sr 0.5000 0.0000 0.0000  2 H 2.79

Properties
For the spin magnetization, the calculation gives 0.0 Bohr magnetons per cell. The space-group type is P4/mmm, No. 123. The value obtained for the theoretical density is 5.51 g/cm³. The final energy comes out at -2.86 eV per atom.

---

5.
A relaxed structure of ZrMnSi2, computed with GGA-PBE.

Cell lengths 5.1649, 5.1649, 4.6250 Å; angles 74.76, 74.76, 32.53 degrees
Last column: nearest neighbours and their distance in Å.
Fractional coordinates of all 4 atoms:
1 Zr 0.4823 0.4823 0.5714  7 Si 2.73-2.76, 2 Zr 2.89
2 Si 0.7361 0.7361 0.6955  4 Mn 2.72-2.76, 3 Zr 2.73-2.76, 4 Si 2.74-2.89
3 Si 0.0174 0.0174 0.0484  3 Mn 2.69-2.81, 4 Zr 2.74-2.76, 4 Si 2.74-2.89
4 Mn 0.2642 0.2642 0.1847  7 Si 2.69-2.81, 2 Mn 2.89

Properties
For the formation energy from raw total energies, the calculation gives -0.213 eV/atom. For the spin magnetization, the calculation gives 3.2 Bohr magnetons per cell. The space-group type is Cm, No. 8. The value obtained for the theoretical density is 5.27 g/cm³.

---

6.
A relaxed structure of YHo3Te4, computed with GGA-PBE.

Cell lengths 8.2564, 7.8901, 9.2879 Å; angles 90.00, 90.00, 90.00 degrees
Last column: nearest neighbours and their distance in Å.
Fractional coordinates of all 16 atoms:
1 Te 0.2186 0.8458 0.0000  3 Ho 3.02-3.08, 1 Y 3.04
2 Te 0.1101 0.3565 0.7757  3 Ho 3.00-3.06, 1 Y 3.06
3 Te 0.6101 0.6435 0.7243  3 Ho 3.00-3.06, 1 Y 3.06
4 Te 0.6101 0.6435 0.2757  3 Ho 3.00-3.06, 1 Y 3.06
5 Te 0.1014 0.7785 0.5000  3 Ho 3.01-3.05, 1 Y 3.06
6 Te 0.1101 0.3565 0.2243  3 Ho 3.00-3.06, 1 Y 3.06
7 Te 0.7186 0.1542 0.5000  3 Ho 3.02-3.08, 1 Y 3.04
8 Te 0.6014 0.2215 0.0000  3 Ho 3.01-3.05, 1 Y 3.06
9 Ho 0.4622 0.2892 0.7010  4 Te 3.02-3.06
10 Ho 0.9622 0.7108 0.2010  4 Te 3.02-3.06
11 Ho 0.9622 0.7108 0.7990  4 Te 3.02-3.06
12 Ho 0.0916 0.1597 0.5000  4 Te 3.00-3.08
13 Ho 0.5916 0.8403 0.0000  4 Te 3.00-3.08
14 Ho 0.4622 0.2892 0.2990  4 Te 3.02-3.06
15 Y 0.4591 0.8803 0.5000  4 Te 3.04-3.06
16 Y 0.9591 0.1197 0.0000  4 Te 3.04-3.06

Properties
For the formation energy from raw total energies, the calculation gives -0.944 eV/atom. For the spin magnetization, the calculation gives 4.1 Bohr magnetons per cell. The space-group type is Pmn2_1, No. 31. The value obtained for the theoretical density is 6.01 g/cm³. Its energy relative to the lowest polymorph listed for this composition is 0.316 eV per atom.

---

7.
A relaxed structure of MnFe2Ni, computed with GGA-PBE.

Cell lengths 4.0261, 2.4730, 4.7335 Å; angles 80.03, 90.00, 90.00 degrees
Last column: nearest neighbours and their distance in Å.
Fractional coordinates of all 4 atoms:
1 Fe 0.5000 0.2408 0.2460  4 Fe 2.43-2.47, 2 Ni 2.47-2.48, 2 Mn 2.48
2 Fe 0.0000 0.0097 0.0068  4 Fe 2.43-2.47, 2 Mn 2.46-2.49, 2 Ni 2.49
3 Ni 0.5000 0.7588 0.7481  4 Fe 2.47-2.49, 2 Ni 2.47, 2 Mn 2.48
4 Mn 0.0000 0.4907 0.4991  4 Fe 2.46-2.49, 2 Mn 2.47, 2 Ni 2.48

Properties
The formation energy comes out at 110 meV per atom. For the spin magnetization, the calculation gives 7.9 Bohr magnetons per cell. The space-group type is Pm, No. 6. The value obtained for the theoretical density is 8.06 g/cm³.

---

8.
A relaxed structure of Cs3TlIn2Cl9, computed with GGA-PBE.

Cell lengths 7.7106, 7.7106, 10.1508 Å; angles 90.00, 90.00, 120.00 degrees
Last column: nearest neighbours and their distance in Å.
Fractional coordinates of all 15 atoms:
1 Cl 0.6544 0.8272 0.2962  1 In 2.56
2 Cl 0.1728 0.3456 0.2962  1 In 2.56
3 Cl 0.8272 0.1728 0.7038  1 In 2.56
4 Cl 0.0000 0.5000 0.0000  2 In 2.74
5 Cl 0.8272 0.6544 0.7038  1 In 2.56
6 Cl 0.3456 0.1728 0.7038  1 In 2.56
7 Cl 0.5000 0.5000 0.0000  2 In 2.74
8 Cl 0.5000 0.0000 0.0000  2 In 2.74
9 Cl 0.1728 0.8272 0.2962  1 In 2.56
10 Tl 0.0000 0.0000 0.5000  6 Cl 3.10
11 Cs 0.6667 0.3333 0.2982  9 Cl 3.76-3.86
12 Cs 0.0000 0.0000 0.0000  12 Cl 3.79-3.86
13 Cs 0.3333 0.6667 0.7018  9 Cl 3.76-3.86
14 In 0.6667 0.3333 0.8424  6 Cl 2.56-2.74
15 In 0.3333 0.6667 0.1576  6 Cl 2.56-2.74

Properties
For the formation energy from raw total energies, the calculation gives -1.446 eV/atom. For the spin magnetization, the calculation gives 0.0 Bohr magnetons per cell. The space-group type is P-3m1, No. 164. The value obtained for the theoretical density is 3.66 g/cm³.

---

9.
A relaxed structure of Rb2LaCuBr6, computed with GGA-PBE.

Cell lengths 7.9347, 7.9347, 7.9399 Å; angles 60.02, 60.02, 90.00 degrees
Last column: nearest neighbours and their distance in Å.
Fractional coordinates of all 10 atoms:
1 Br 0.2606 0.2606 0.0000  1 Cu 2.69, 1 La 2.92
2 Br 0.7394 0.2606 0.0000  1 Cu 2.69, 1 La 2.92
3 Br 0.2606 0.7394 0.0000  1 Cu 2.69, 1 La 2.92
4 Br 0.7397 0.7397 0.5205  1 Cu 2.69, 1 La 2.92
5 Br 0.2603 0.2603 0.4795  1 Cu 2.69, 1 La 2.92
6 Br 0.7394 0.7394 0.0000  1 Cu 2.69, 1 La 2.92
7 Cu 0.5000 0.5000 0.0000  6 Br 2.69
8 Rb 0.7500 0.2500 0.5000  12 Br 3.97
9 Rb 0.2500 0.7500 0.5000  12 Br 3.97
10 La 0.0000 0.0000 0.0000  6 Br 2.92

Properties
For the formation energy from raw total energies, the calculation gives -1.506 eV/atom. For the spin magnetization, the calculation gives 0.0 Bohr magnetons per cell. The space-group type is I4/mmm, No. 139. The value obtained for the theoretical density is 4.00 g/cm³. Its energy relative to the lowest polymorph listed for this composition is 0.026 eV per atom.

---

10.
A relaxed structure of Ce4Cd3Hg5, computed with GGA-PBE.

Cell lengths 5.4755, 15.8831, 6.4692 Å; angles 127.08, 64.96, 80.07 degrees
Last column: nearest neighbours and their distance in Å.
Fractional coordinates of all 12 atoms:
1 Hg 0.1996 0.9501 0.6508  1 Hg 3.08, 3 Cd 3.13-3.23, 5 Ce 3.24-3.37
2 Hg 0.8004 0.0499 0.3492  1 Hg 3.08, 3 Cd 3.13-3.23, 5 Ce 3.24-3.37
3 Hg 0.5000 0.5000 0.5000  2 Cd 2.74
4 Hg 0.1119 0.5880 0.1882  2 Cd 3.01-3.26, 3 Hg 3.12-3.28, 4 Ce 3.16-3.31
5 Hg 0.8881 0.4120 0.8118  2 Cd 3.01-3.26, 3 Hg 3.12-3.28, 4 Ce 3.16-3.31
6 Ce 0.0032 0.1963 0.7973  1 Ce 2.79
7 Ce 0.6567 0.2749 0.4117  1 Ce 2.79
8 Ce 0.9968 0.8037 0.2027  1 Ce 2.79
9 Ce 0.3433 0.7251 0.5883  1 Ce 2.79
10 Cd 0.4392 0.1167 0.0049  4 Hg 3.13-3.26, 3 Ce 3.22-3.35
11 Cd 0.0000 0.5000 0.5000  4 Hg 2.74-3.01
12 Cd 0.5608 0.8833 0.9951  4 Hg 3.13-3.26, 3 Ce 3.22-3.35

Properties
The formation energy comes out at -110 meV per atom. For the spin magnetization, the calculation gives 3.5 Bohr magnetons per cell. The space-group type is C2/m, No. 12. The value obtained for the theoretical density is 9.62 g/cm³.

---

11.
A relaxed structure of AgBiPb2, computed with GGA-PBE.

Cell lengths 3.6506, 3.6506, 8.4165 Å; angles 90.00, 90.00, 90.00 degrees
Last column: nearest neighbours and their distance in Å.
Fractional coordinates of all 4 atoms:
1 Pb 0.0000 0.0000 0.7834  4 Ag 3.16, 4 Bi 3.51
2 Pb 0.0000 0.0000 0.2166  4 Ag 3.16, 4 Bi 3.51
3 Ag 0.5000 0.5000 0.0000  8 Pb 3.16
4 Bi 0.5000 0.5000 0.5000  8 Pb 3.51, 4 Bi 3.65

Properties
The formation energy comes out at 85 meV per atom. For the spin magnetization, the calculation gives 0.0 Bohr magnetons per cell. The space-group type is P4/mmm, No. 123. The value obtained for the theoretical density is 10.83 g/cm³.

---

12.
A relaxed structure of Zn2NiRh3, computed with GGA-PBE.

Cell lengths 4.2446, 6.7169, 6.0197 Å; angles 90.00, 90.00, 71.58 degrees
Last column: nearest neighbours and their distance in Å.
Fractional coordinates of all 12 atoms:
1 Rh 0.8310 0.3380 0.7573  3 Ni 2.57-2.58, 5 Zn 2.60-2.65
2 Rh 0.5000 0.0000 0.7532  2 Ni 2.58, 6 Zn 2.59-2.61
3 Rh 0.8310 0.3380 0.2427  3 Ni 2.57-2.58, 5 Zn 2.60-2.65
4 Rh 0.5000 0.0000 0.2468  2 Ni 2.58, 6 Zn 2.59-2.61
5 Rh 0.1690 0.6620 0.7573  3 Ni 2.57-2.58, 5 Zn 2.60-2.65
6 Rh 0.1690 0.6620 0.2427  3 Ni 2.57-2.58, 5 Zn 2.60-2.65
7 Zn 0.0000 0.0000 0.5000  8 Rh 2.61-2.65
8 Zn 0.3337 0.3327 0.5000  8 Rh 2.61-2.63
9 Zn 0.0000 0.0000 0.0000  8 Rh 2.59-2.60
10 Zn 0.6663 0.6673 0.5000  8 Rh 2.61-2.63
11 Ni 0.6651 0.6698 0.0000  8 Rh 2.57-2.58
12 Ni 0.3349 0.3302 0.0000  8 Rh 2.57-2.58

Properties
The formation energy comes out at -197 meV per atom. For the spin magnetization, the calculation gives 4.2 Bohr magnetons per cell. The space-group type is Cmmm, No. 65. The value obtained for the theoretical density is 10.16 g/cm³.